Entry 1:
A plane-wave DFT calculation with PBEsol was carried out for an optimized crystal structure of K2SrMo.

Computed properties:
Space group   F-43m, No. 216
Electronic total energy   -10.9 eV/cell
M_tot   1.09 μB per atom
DOS(E_F)   3.4 states/eV/f.u.
DFT formation energy   1.24 eV per atom

abc: 6.133 6.133 6.133
angles: 60.00 60.00 60.00
Sites, in units of the cell vectors:
K: 0.750 0.750 0.750
K: 0.500 0.500 0.500
Mo: 0.250 0.250 0.250
Sr: 0.000 0.000 0.000


Entry 2:
A plane-wave DFT calculation with PBEsol was carried out for an optimized crystal structure of K2SrMo.

Computed properties:
Space group   Fm-3m, No. 225
Electronic total energy   -10.4 eV/cell
M_tot   1.10 μB per atom
DOS(E_F)   3.4 states/eV/f.u.
DFT formation energy   1.37 eV per atom

abc: 6.199 6.199 6.199
angles: 60.00 60.00 60.00
Sites, in units of the cell vectors:
K: 0.250 0.250 0.250
K: 0.750 0.750 0.750
Sr: 0.500 0.500 0.500
Mo: 0.000 0.000 0.000


Entry 3:
A plane-wave DFT calculation with PBEsol was carried out for an optimized crystal structure of KTaMo2.

Computed properties:
Space group   C2/m, No. 12
Electronic total energy   -31.7 eV/cell
M_tot   0.00 μB per atom
DOS(E_F)   4.1 states/eV/f.u.
DFT formation energy   1.37 eV per atom

abc: 2.621 5.689 5.689
angles: 118.73 95.98 95.98
Sites, in units of the cell vectors:
K: 0.500 0.000 0.000
Mo: 0.000 0.000 0.500
Mo: 0.000 0.500 0.000
Ta: 0.500 0.500 0.500


Entry 4:
A plane-wave DFT calculation with PBEsol was carried out for an optimized crystal structure of KTaMo2.

Computed properties:
Space group   F-43m, No. 216
Electronic total energy   -31.1 eV/cell
M_tot   0.00 μB per atom
DOS(E_F)   5.3 states/eV/f.u.
DFT formation energy   1.53 eV per atom

abc: 4.658 4.658 4.658
angles: 60.00 60.00 60.00
Sites, in units of the cell vectors:
Mo: 0.750 0.750 0.750
Mo: 0.000 0.000 0.000
K: 0.500 0.500 0.500
Ta: 0.250 0.250 0.250